w) # TeMo (PBE, optimized geometry)
# D(E_F): 0.395 states/eV per atom
data_TeMo
_chemical_formula_sum 'Te4 Mo4'
_cell_length_a 6.647
_cell_length_b 6.647
_cell_length_c 5.190
_cell_angle_alpha 90.00
_cell_angle_beta 90.00
_cell_angle_gamma 90.00
_space_group_name_H-M_alt 'P 42/m n m'
_space_group_IT_number 136
_space_group_name_Hall '-P 4n 2n'
loop_
_atom_site_label
_atom_site_fract_x
_atom_site_fract_y
_atom_site_fract_z
Te1 0.213 0.213 0.000
Mo1 0.112 0.112 0.500

=====

x) # TeMo (PBE, optimized geometry)
# D(E_F): 0.670 states/eV per atom
data_TeMo
_chemical_formula_sum 'Te4 Mo4'
_cell_length_a 3.333
_cell_length_b 4.532
_cell_length_c 10.349
_cell_angle_alpha 90.00
_cell_angle_beta 90.00
_cell_angle_gamma 90.00
_space_group_name_H-M_alt 'I m m a'
_space_group_IT_number 74
_space_group_name_Hall '-I 2b 2'
loop_
_atom_site_label
_atom_site_fract_x
_atom_site_fract_y
_atom_site_fract_z
Te1 0.000 0.250 0.110
Mo1 0.000 0.250 0.617

=====

Which one is most stable, and which one is least stable? w) is the most stable of them, while x) is the least stable.

=====

w) # TeMo (PBE, optimized geometry)
# D(E_F): 0.595 states/eV per atom
data_TeMo
_chemical_formula_sum 'Te6 Mo6'
_cell_length_a 12.009
_cell_length_b 3.344
_cell_length_c 7.098
_cell_angle_alpha 90.00
_cell_angle_beta 113.43
_cell_angle_gamma 90.00
_space_group_name_H-M_alt 'C 1 m 1'
_space_group_IT_number 8
_space_group_name_Hall 'C -2y'
loop_
_atom_site_label
_atom_site_fract_x
_atom_site_fract_y
_atom_site_fract_z
Te1 0.000 0.000 0.000
Te2 0.149 0.500 0.468
Te3 0.302 0.000 0.166
Mo1 0.057 0.500 0.752
Mo2 0.305 0.000 0.763
Mo3 0.391 0.500 0.522

=====

x) # TeMo (PBE, optimized geometry)
# D(E_F): 0.991 states/eV per atom
data_TeMo
_chemical_formula_sum 'Te6 Mo6'
_cell_length_a 7.503
_cell_length_b 7.503
_cell_length_c 7.503
_cell_angle_alpha 90.00
_cell_angle_beta 90.00
_cell_angle_gamma 90.00
_space_group_name_H-M_alt 'P m -3 n'
_space_group_IT_number 223
_space_group_name_Hall '-P 4n 2 3'
loop_
_atom_site_label
_atom_site_fract_x
_atom_site_fract_y
_atom_site_fract_z
Te1 0.000 0.250 0.500
Mo1 0.000 0.500 0.250

=====

Which one is most stable, and which one is least stable? w) is the most stable of them, while x) is the least stable.

=====

w) # TeMo (PBE, optimized geometry)
# D(E_F): 1.577 states/eV per atom
data_TeMo
_chemical_formula_sum 'Te2 Mo2'
_cell_length_a 3.3269
_cell_length_b 3.3269
_cell_length_c 8.1642
_cell_angle_alpha 90.00
_cell_angle_beta 90.00
_cell_angle_gamma 120.00
_space_group_name_H-M_alt 'P 63/m m c'
_space_group_IT_number 194
_space_group_name_Hall '-P 6c 2c'
loop_
_atom_site_label
_atom_site_fract_x
_atom_site_fract_y
_atom_site_fract_z
Te1 0.0000 0.0000 0.0000
Mo1 0.3333 0.6667 0.2500

=====

x) # TeMo (PBE, optimized geometry)
# D(E_F): 0.639 states/eV per atom
data_TeMo
_chemical_formula_sum 'Te6 Mo6'
_cell_length_a 9.758
_cell_length_b 3.480
_cell_length_c 7.999
_cell_angle_alpha 90.00
_cell_angle_beta 111.51
_cell_angle_gamma 90.00
_space_group_name_H-M_alt 'C 1 m 1'
_space_group_IT_number 8
_space_group_name_Hall 'C -2y'
loop_
_atom_site_label
_atom_site_fract_x
_atom_site_fract_y
_atom_site_fract_z
Te1 0.000 0.000 0.000
Te2 0.056 0.500 0.647
Te3 0.257 0.500 0.361
Mo1 0.035 0.000 0.359
Mo2 0.293 0.000 0.790
Mo3 0.299 0.000 0.100

=====

y) # TeMo (PBE, optimized geometry)
# D(E_F): 0.754 states/eV per atom
data_TeMo
_chemical_formula_sum 'Te4 Mo4'
_cell_length_a 4.324
_cell_length_b 4.324
_cell_length_c 8.348
_cell_angle_alpha 90.00
_cell_angle_beta 90.00
_cell_angle_gamma 90.00
_space_group_name_H-M_alt 'I 41/a m d'
_space_group_IT_number 141
loop_
_space_group_symop_operation_xyz
'x,y,z'
'-x,-y,-z'
'-y+1/4,x+3/4,z+1/4'
'y+1/4,-x+3/4,-z+1/4'
'-x+1/2,-y,z+1/2'
'x+1/2,y,-z+1/2'
'y+1/4,-x+1/4,z+3/4'
'-y+1/4,x+1/4,-z+3/4'
'x,-y,-z'
'-x,y,z'
'-y+1/4,-x+1/4,-z+3/4'
'y+1/4,x+1/4,z+3/4'
'-x+1/2,y,-z+1/2'
'x+1/2,-y,z+1/2'
'y+1/4,x+3/4,-z+1/4'
'-y+1/4,-x+3/4,z+1/4'
'x+1/2,y+1/2,z+1/2'
'-x+1/2,-y+1/2,-z+1/2'
'-y+3/4,x+1/4,z+3/4'
'y+3/4,-x+1/4,-z+3/4'
'-x,-y+1/2,z'
'x,y+1/2,-z'
'y+3/4,-x+3/4,z+1/4'
'-y+3/4,x+3/4,-z+1/4'
'x+1/2,-y+1/2,-z+1/2'
'-x+1/2,y+1/2,z+1/2'
'-y+3/4,-x+3/4,-z+1/4'
'y+3/4,x+3/4,z+1/4'
'-x,y+1/2,-z'
'x,-y+1/2,z'
'y+3/4,x+1/4,-z+3/4'
'-y+3/4,-x+1/4,z+3/4'
loop_
_atom_site_label
_atom_site_fract_x
_atom_site_fract_y
_atom_site_fract_z
Te1 0.000 0.250 0.375
Mo1 0.000 0.250 0.875

=====

z) # TeMo (PBE, optimized geometry)
# D(E_F): 1.337 states/eV per atom
data_TeMo
_chemical_formula_sum 'Te4 Mo4'
_cell_length_a 6.122
_cell_length_b 6.122
_cell_length_c 6.122
_cell_angle_alpha 90.00
_cell_angle_beta 90.00
_cell_angle_gamma 90.00
_space_group_name_H-M_alt 'F -4 3 m'
_space_group_IT_number 216
_space_group_name_Hall 'F -4 2 3'
loop_
_atom_site_label
_atom_site_fract_x
_atom_site_fract_y
_atom_site_fract_z
Te1 0.000 0.000 0.000
Mo1 0.250 0.250 0.250

=====

Which one is most stable, and which one is least stable? x) is the most stable of them, while z) is the least stable.

=====

w) # Te3Mo5 (PBE, optimized geometry)
# D(E_F): 0.756 states/eV per atom
data_Te3Mo5
_chemical_formula_sum 'Te6 Mo10'
_cell_length_a 7.5690
_cell_length_b 7.5690
_cell_length_c 5.9538
_cell_angle_alpha 90.00
_cell_angle_beta 90.00
_cell_angle_gamma 120.00
_space_group_name_H-M_alt 'P 63/m c m'
_space_group_IT_number 193
_space_group_name_Hall '-P 6c 2'
loop_
_atom_site_label
_atom_site_fract_x
_atom_site_fract_y
_atom_site_fract_z
Te1 0.0000 0.4046 0.2500
Mo1 0.0000 0.2203 0.7500
Mo2 0.3333 0.6667 0.0000

=====

x) # Te3Mo5 (PBE, optimized geometry)
# D(E_F): 0.794 states/eV per atom
data_Te3Mo5
_chemical_formula_sum 'Te12 Mo20'
_cell_length_a 5.110
_cell_length_b 17.145
_cell_length_c 8.178
_cell_angle_alpha 90.00
_cell_angle_beta 107.49
_cell_angle_gamma 90.00
_space_group_name_H-M_alt 'C 1 2/m 1'
_space_group_IT_number 12
_space_group_name_Hall '-C 2y'
loop_
_atom_site_label
_atom_site_fract_x
_atom_site_fract_y
_atom_site_fract_z
Te1 0.000 0.180 0.000
Te2 0.000 0.319 0.500
Te3 0.192 0.500 0.364
Mo1 0.073 0.370 0.158
Mo2 0.128 0.073 0.280
Mo3 0.248 0.500 0.995

=====

Which one is most stable, and which one is least stable? x) is the most stable of them, while w) is the least stable.

=====

w) # Te5Mo (PBE, optimized geometry)
# D(E_F): 0.537 states/eV per atom
data_Te5Mo
_chemical_formula_sum 'Te10 Mo2'
_cell_length_a 13.733
_cell_length_b 3.315
_cell_length_c 9.230
_cell_angle_alpha 90.00
_cell_angle_beta 118.89
_cell_angle_gamma 90.00
_space_group_name_H-M_alt 'C 1 m 1'
_space_group_IT_number 8
_space_group_name_Hall 'C -2y'
loop_
_atom_site_label
_atom_site_fract_x
_atom_site_fract_y
_atom_site_fract_z
Te1 0.000 0.000 0.000
Te2 0.011 0.500 0.465
Te3 0.176 0.000 0.831
Te4 0.267 0.000 0.212
Te5 0.315 0.500 0.578
Mo1 0.495 0.000 0.759

=====

x) # Te5Mo (PBE, optimized geometry)
# D(E_F): 0.477 states/eV per atom
data_Te5Mo
_chemical_formula_sum 'Te10 Mo2'
_cell_length_a 5.994
_cell_length_b 3.782
_cell_length_c 15.453
_cell_angle_alpha 90.00
_cell_angle_beta 90.00
_cell_angle_gamma 90.00
_space_group_name_H-M_alt 'A m m 2'
_space_group_IT_number 38
_space_group_name_Hall 'A 2 -2'
loop_
_atom_site_label
_atom_site_fract_x
_atom_site_fract_y
_atom_site_fract_z
Te1 0.000 0.000 0.000
Te2 0.000 0.000 0.255
Te3 0.500 0.000 0.295
Te4 0.500 0.000 0.634
Te5 0.500 0.000 0.945
Mo1 0.000 0.000 0.626

=====

y) # Te5Mo (PBE, optimized geometry)
# D(E_F): 0.933 states/eV per atom
data_Te5Mo
_chemical_formula_sum 'Te5 Mo1'
_cell_length_a 8.1754
_cell_length_b 8.1754
_cell_length_c 3.3030
_cell_angle_alpha 90.00
_cell_angle_beta 90.00
_cell_angle_gamma 120.00
_space_group_name_H-M_alt 'P -6 2 m'
_space_group_IT_number 189
_space_group_name_Hall 'P -6 -2'
loop_
_atom_site_label
_atom_site_fract_x
_atom_site_fract_y
_atom_site_fract_z
Te1 0.0000 0.7362 0.0000
Te2 0.3333 0.6667 0.5000
Mo1 0.0000 0.0000 0.5000

=====

z) # Te5Mo (PBE, optimized geometry)
# D(E_F): 0.648 states/eV per atom
data_Te5Mo
_chemical_formula_sum 'Te10 Mo2'
_cell_length_a 5.083
_cell_length_b 12.302
_cell_length_c 5.191
_cell_angle_alpha 90.00
_cell_angle_beta 90.00
_cell_angle_gamma 90.00
_space_group_name_H-M_alt 'C m m m'
_space_group_IT_number 65
_space_group_name_Hall '-C 2 2'
loop_
_atom_site_label
_atom_site_fract_x
_atom_site_fract_y
_atom_site_fract_z
Te1 0.000 0.000 0.000
Te2 0.000 0.138 0.500
Te3 0.000 0.356 0.000
Mo1 0.000 0.500 0.500

=====

Which one is most stable, and which one is least stable? w) is the most stable of them, while z) is the least stable.

=====

w) # Te5Mo (PBE, optimized geometry)
# D(E_F): 0.654 states/eV per atom
data_Te5Mo
_chemical_formula_sum 'Te5 Mo1'
_cell_length_a 3.367
_cell_length_b 3.367
_cell_length_c 14.594
_cell_angle_alpha 90.00
_cell_angle_beta 90.00
_cell_angle_gamma 90.00
_space_group_name_H-M_alt 'P 4/m m m'
_space_group_IT_number 123
_space_group_name_Hall '-P 4 2'
loop_
_atom_site_label
_atom_site_fract_x
_atom_site_fract_y
_atom_site_fract_z
Te1 0.000 0.000 0.000
Te2 0.000 0.000 0.386
Te3 0.500 0.500 0.149
Mo1 0.500 0.500 0.500

=====

x) # Te5Mo (PBE, optimized geometry)
# D(E_F): 0.841 states/eV per atom
data_Te5Mo
_chemical_formula_sum 'Te5 Mo1'
_cell_length_a 5.7011
_cell_length_b 5.7011
_cell_length_c 8.0345
_cell_angle_alpha 90.00
_cell_angle_beta 90.00
_cell_angle_gamma 120.00
_space_group_name_H-M_alt 'P 6/m m m'
_space_group_IT_number 191
_space_group_name_Hall '-P 6 2'
loop_
_atom_site_label
_atom_site_fract_x
_atom_site_fract_y
_atom_site_fract_z
Te1 0.0000 0.5000 0.0000
Te2 0.3333 0.6667 0.5000
Mo1 0.0000 0.0000 0.5000

=====

Which one is most stable, and which one is least stable? w) is the most stable of them, while x) is the least stable.